The following is a GGA-PBE calculation of a relaxed Tb5Pm3Tm crystal, from Alexandria.

Output
**Formation energy from the elements**: 0.52 eV/atom

Unit cell a=9.5407 b=9.5407 c=11.6643 alpha=52.60 beta=52.60 gamma=73.79
Sites, in units of the cell vectors:
Tb  0.5070  0.5070  0.7713
Pm  0.3386  0.3386  0.6418
Tm  0.8488  0.8488  0.3996
Tb  0.8166  0.8166  0.9605
Tb  0.1577  0.6609  0.7469
Pm  0.0000  0.0000  0.0000
Pm  0.0000  0.0000  0.5000
Pm  0.6614  0.6614  0.3582
Tm  0.1512  0.1512  0.6004
Tb  0.2555  0.7445  0.0000
Tb  0.3391  0.8423  0.2531
Pm  0.3048  0.3048  0.1874
Tb  0.1834  0.1834  0.0395
Tb  0.7445  0.2555  0.0000
Tb  0.8423  0.3391  0.2531
Pm  0.6952  0.6952  0.8126
Tb  0.6609  0.1577  0.7469
Tb  0.4930  0.4930  0.2287